Material: TbHo5Ru3
Method: DFT, GGA-PBE
State: optimized geometry

## Properties
**Total magnetization**: 0.0 μB/f.u.
**Energy relative to the elements**: -0.2232 eV/atom
**Mass density**: 8.493 g/cm³

```
18
Lattice="-5.767 3.996 -2.908 0.831 0.038 -7.549 -6.537 -6.379 -3.852" Properties=species:S:1:pos:R:3 pbc="T T T"
Tb -5.078 -4.054 -3.761
Tb -6.394 1.709 -10.547
Ho -7.442 1.758 -6.846
Ho -1.158 1.231 -6.149
Ho -4.005 2.881 -8.151
Ho -4.540 -0.604 -5.939
Ho -6.932 -1.741 -8.370
Ho -7.467 -5.226 -6.158
Ho -3.473 -0.623 -9.638
Ho -3.777 2.803 -4.307
Ho -4.030 -4.103 -7.463
Ho -7.999 -1.722 -4.671
Ru -8.738 -2.623 -10.184
Ru -5.454 0.562 -8.233
Ru 0.000 0.000 0.000
Ru -3.268 -3.189 -1.926
Ru -2.734 0.278 -4.124
Ru -6.018 -2.907 -6.075
```